Computed, not measured: an optimized crystal structure of CdNiIr2 at the GGA-PBE level of DFT.

Computed properties:
Energy of formation = 0.166 eV per atom
E = -5.939 eV per atom
Magnetization = 0.0 Bohr magnetons per cell

Structure (POSCAR):
```
CdNiIr2
1.0
4.504 -1.401 0.000
4.504 1.401 0.000
-0.850 0.000 4.788
Cd Ni Ir
1 1 2
Direct
0.000 0.000 0.000
0.754 0.754 0.234
0.240 0.240 0.678
0.496 0.496 0.496
```

---

Computed, not measured: an optimized crystal structure of Na4Cd2F at the GGA-PBE level of DFT.

Computed properties:
E = -1.984 eV per atom
Magnetization = 0.0 Bohr magnetons per cell

Structure (POSCAR):
```
Na4Cd2F
1.0
-2.327 2.327 8.171
2.327 -2.327 8.171
2.327 2.327 -8.171
Na Cd F
4 2 1
Direct
0.000 0.500 0.500
0.153 0.153 0.000
0.500 0.000 0.500
0.847 0.847 0.000
0.342 0.342 0.000
0.658 0.658 0.000
0.000 0.000 0.000
```

---

Computed, not measured: an optimized crystal structure of TaSnS2Cl at the GGA-PBE level of DFT.

Computed properties:
Relative energy among the computed polymorphs = 0.000 eV/atom
E = -5.584 eV per atom
Magnetization = 0.0 Bohr magnetons per cell

Structure (POSCAR):
```
TaSnS2Cl
1.0
4.851 0.000 0.000
0.000 4.851 0.000
0.000 0.000 4.808
Ta Sn S Cl
1 1 2 1
Direct
0.000 0.000 0.000
0.500 0.500 0.500
0.000 0.500 0.000
0.500 0.000 0.000
0.000 0.000 0.500
```

---

Computed, not measured: an optimized crystal structure of Ca2HSeS at the GGA-PBE level of DFT.

Computed properties:
Relative energy among the computed polymorphs = 0.000 eV/atom
E = -4.381 eV per atom
Magnetization = 0.0 Bohr magnetons per cell

Structure (POSCAR):
```
Ca2HSeS
1.0
3.576 -2.132 0.000
3.576 2.132 0.000
-2.338 0.000 6.778
Ca H Se S
2 1 1 1
Direct
0.243 0.243 0.235
0.757 0.757 0.765
0.500 0.500 0.500
0.000 0.000 0.500
0.500 0.500 0.000
```

---

Computed, not measured: an optimized crystal structure of Li2ZnAgF8 at the GGA-PBE level of DFT.

Computed properties:
E = -3.812 eV per atom
Magnetization = 1.0 Bohr magnetons per cell

Structure (POSCAR):
```
Li2ZnAgF8
1.0
4.687 0.000 0.000
0.263 4.688 0.000
0.304 0.280 6.560
Li Zn Ag F
2 1 1 8
Direct
0.008 0.008 0.229
0.992 0.992 0.771
0.500 0.500 0.000
0.500 0.500 0.500
0.198 0.807 0.500
0.203 0.801 0.000
0.299 0.304 0.234
0.304 0.308 0.742
0.696 0.692 0.258
0.701 0.696 0.766
0.797 0.199 0.000
0.802 0.193 0.500
```

---

Computed, not measured: an optimized crystal structure of TaHgBr2 at the GGA-PBE level of DFT.

Computed properties:
Relative energy among the computed polymorphs = 0.442 eV/atom
E = -3.703 eV per atom
Magnetization = 0.0 Bohr magnetons per cell

Structure (POSCAR):
```
TaHgBr2
1.0
3.241 0.000 0.000
0.000 4.917 0.000
-1.491 0.000 6.795
Ta Hg Br
1 1 2
Direct
0.000 0.000 0.000
0.390 0.500 0.761
0.066 0.500 0.145
0.642 0.000 0.309
```

---

Computed, not measured: an optimized crystal structure of BaNa2As2O6 at the GGA-PBE level of DFT.

Computed properties:
E = -5.546 eV per atom
Magnetization = 2.0 Bohr magnetons per cell

Structure (POSCAR):
```
BaNa2As2O6
1.0
6.095 0.000 0.000
-3.047 5.278 0.000
0.000 0.000 6.421
Ba Na As O
1 2 2 6
Direct
0.000 0.000 0.000
0.333 0.667 0.375
0.667 0.333 0.625
0.333 0.667 0.847
0.667 0.333 0.153
0.063 0.664 0.755
0.336 0.400 0.755
0.400 0.063 0.245
0.600 0.937 0.755
0.664 0.600 0.245
0.937 0.336 0.245
```

---

Computed, not measured: an optimized crystal structure of IrAuC2 at the GGA-PBE level of DFT.

Computed properties:
Relative energy among the computed polymorphs = 0.000 eV/atom
Energy of formation = 1.109 eV per atom
E = -6.538 eV per atom
Magnetization = 0.0 Bohr magnetons per cell

Structure (POSCAR):
```
IrAuC2
1.0
-2.449 2.449 4.599
2.449 -2.449 4.599
2.449 2.449 -4.599
Ir Au C
2 2 4
Direct
0.000 0.000 0.000
0.750 0.250 0.500
0.250 0.750 0.500
0.500 0.500 0.000
0.082 0.625 0.957
0.375 0.332 0.457
0.668 0.125 0.043
0.875 0.918 0.543
```

---

Computed, not measured: an optimized crystal structure of Ca4Tl7Sn at the GGA-PBE level of DFT.

Computed properties:
Energy of formation = -0.242 eV per atom
E = -2.623 eV per atom
Magnetization = 0.0 Bohr magnetons per cell

Structure (POSCAR):
```
Ca4Tl7Sn
1.0
5.785 0.000 0.000
0.026 7.494 0.000
1.028 3.364 8.432
Ca Tl Sn
4 7 1
Direct
0.238 0.412 0.189
0.256 0.901 0.225
0.744 0.099 0.775
0.762 0.588 0.811
0.243 0.290 0.865
0.245 0.067 0.538
0.248 0.807 0.885
0.500 0.500 0.500
0.752 0.193 0.115
0.755 0.933 0.462
0.757 0.710 0.135
0.000 0.500 0.500
```

---

Computed, not measured: an optimized crystal structure of RbSmAs at the GGA-PBE level of DFT.

Computed properties:
Energy of formation = -0.660 eV per atom
E = -4.106 eV per atom
Magnetization = 0.0 Bohr magnetons per cell

Structure (POSCAR):
```
RbSmAs
1.0
3.414 -3.415 0.000
3.414 3.415 0.000
-3.406 0.000 9.039
Rb Sm As
2 2 2
Direct
0.185 0.185 0.372
0.815 0.815 0.628
0.000 0.500 0.000
0.500 0.000 0.000
0.394 0.394 0.788
0.606 0.606 0.212
```

---

Computed, not measured: an optimized crystal structure of TbCdHg at the GGA-PBE level of DFT.

Computed properties:
Energy of formation = -0.345 eV per atom
E = -2.294 eV per atom
Magnetization = 0.0 Bohr magnetons per cell

Structure (POSCAR):
```
TbCdHg
1.0
4.621 0.000 0.000
0.000 5.025 0.000
-2.299 0.000 6.400
Tb Cd Hg
2 2 2
Direct
0.101 0.250 0.204
0.899 0.750 0.796
0.420 0.250 0.844
0.580 0.750 0.156
0.240 0.750 0.477
0.760 0.250 0.523
```

---

Computed, not measured: an optimized crystal structure of Ba2LuTl at the GGA-PBE level of DFT.

Computed properties:
Energy of formation = 0.239 eV per atom
E = -2.444 eV per atom
Magnetization = 0.0 Bohr magnetons per cell

Structure (POSCAR):
```
Ba2LuTl
1.0
1.919 1.108 12.855
-1.919 1.108 12.855
0.000 -2.216 12.855
Ba Lu Tl
2 1 1
Direct
0.093 0.093 0.093
0.907 0.907 0.907
0.000 0.000 0.000
0.500 0.500 0.500
```

---

Computed, not measured: an optimized crystal structure of La6CrSi2S14 at the GGA-PBE level of DFT.

Computed properties:
E = -6.390 eV per atom
Magnetization = 4.0 Bohr magnetons per cell

Structure (POSCAR):
```
La6CrSi2S14
1.0
10.364 0.000 0.000
-5.182 8.976 0.000
0.000 0.000 5.782
La Cr Si S
6 1 2 14
Direct
0.022 0.456 0.000
0.310 0.212 0.496
0.434 0.978 0.000
0.544 0.566 0.000
0.788 0.099 0.496
0.901 0.690 0.496
0.667 0.333 0.735
0.000 0.000 0.080
0.333 0.667 0.587
0.000 0.000 0.715
0.074 0.218 0.221
0.144 0.926 0.221
0.191 0.743 0.726
0.257 0.448 0.726
0.333 0.667 0.222
0.428 0.251 0.971
0.508 0.095 0.501
0.552 0.809 0.726
0.587 0.492 0.501
0.749 0.177 0.971
0.782 0.856 0.221
0.823 0.572 0.971
0.905 0.413 0.501
```

---

Computed, not measured: an optimized crystal structure of HfVZn2C at the GGA-PBE level of DFT.

Computed properties:
Energy of formation = 2.541 eV per atom
E = -3.628 eV per atom
Magnetization = 1.3 Bohr magnetons per cell

Structure (POSCAR):
```
HfVZn2C
1.0
5.144 0.000 0.000
0.000 5.144 0.000
0.000 0.000 4.574
Hf V Zn C
1 1 2 1
Direct
0.000 0.000 0.000
0.000 0.000 0.500
0.000 0.500 0.000
0.500 0.000 0.000
0.500 0.500 0.500
```

---

Computed, not measured: an optimized crystal structure of Pu2GePb at the GGA-PBE level of DFT.

Computed properties:
Energy of formation = -0.263 eV per atom
E = -9.510 eV per atom
Magnetization = 11.2 Bohr magnetons per cell

Structure (POSCAR):
```
Pu2GePb
1.0
3.980 0.000 0.000
0.000 3.980 0.000
0.000 0.000 6.285
Pu Ge Pb
2 1 1
Direct
0.000 0.000 0.225
0.000 0.000 0.775
0.500 0.500 0.000
0.500 0.500 0.500
```

---

Computed, not measured: an optimized crystal structure of Al2HgP at the GGA-PBE level of DFT.

Computed properties:
Relative energy among the computed polymorphs = 0.091 eV/atom
Energy of formation = -0.025 eV per atom
E = -3.324 eV per atom
Magnetization = 0.0 Bohr magnetons per cell

Structure (POSCAR):
```
Al2HgP
1.0
3.346 0.000 0.000
0.000 3.346 0.000
0.000 0.000 7.392
Al Hg P
2 1 1
Direct
0.000 0.000 0.000
0.500 0.500 0.422
0.000 0.000 0.646
0.500 0.500 0.104
```

---

Computed, not measured: an optimized crystal structure of Tl3CuN at the GGA-PBE level of DFT.

Computed properties:
Relative energy among the computed polymorphs = 0.000 eV/atom
E = -3.035 eV per atom
Magnetization = 0.0 Bohr magnetons per cell

Structure (POSCAR):
```
Tl3CuN
1.0
4.948 0.000 0.000
0.000 4.948 0.000
0.000 0.000 4.948
Tl Cu N
3 1 1
Direct
0.000 0.000 0.500
0.000 0.500 0.000
0.500 0.000 0.000
0.500 0.500 0.500
0.000 0.000 0.000
```

---

Computed, not measured: an optimized crystal structure of BaZrAl2 at the GGA-PBE level of DFT.

Computed properties:
Relative energy among the computed polymorphs = 0.351 eV/atom
Energy of formation = 0.175 eV per atom
E = -4.314 eV per atom
Magnetization = 0.0 Bohr magnetons per cell

Structure (POSCAR):
```
BaZrAl2
1.0
1.725 0.996 10.115
-1.725 0.996 10.115
0.000 -1.991 10.115
Ba Zr Al
1 1 2
Direct
0.000 0.000 0.000
0.500 0.500 0.500
0.238 0.238 0.238
0.762 0.762 0.762
```

---

Computed, not measured: an optimized crystal structure of CaMoOs3 at the GGA-PBE level of DFT.

Computed properties:
Relative energy among the computed polymorphs = 0.000 eV/atom
Energy of formation = 1.468 eV per atom
E = -7.837 eV per atom
Magnetization = 0.0 Bohr magnetons per cell

Structure (POSCAR):
```
CaMoOs3
1.0
4.751 0.000 0.000
0.000 4.751 0.000
0.000 0.000 4.751
Ca Mo Os
1 1 3
Direct
0.000 0.000 0.000
0.500 0.500 0.500
0.000 0.500 0.500
0.500 0.000 0.500
0.500 0.500 0.000
```

---

Computed, not measured: an optimized crystal structure of Al3CuNi at the GGA-PBE level of DFT.

Computed properties:
Relative energy among the computed polymorphs = 0.035 eV/atom
Energy of formation = -0.285 eV per atom
E = -4.506 eV per atom
Magnetization = 0.0 Bohr magnetons per cell

Structure (POSCAR):
```
Al3CuNi
1.0
5.886 0.000 0.000
0.000 5.886 0.000
0.000 0.000 5.886
Al Cu Ni
9 3 3
Direct
0.000 0.000 0.000
0.260 0.260 0.260
0.260 0.260 0.740
0.260 0.740 0.260
0.260 0.740 0.740
0.740 0.260 0.260
0.740 0.260 0.740
0.740 0.740 0.260
0.740 0.740 0.740
0.000 0.500 0.500
0.500 0.000 0.500
0.500 0.500 0.000
0.000 0.000 0.500
0.000 0.500 0.000
0.500 0.000 0.000
```